# 1
GGA-PBE CeSmHgAu, optimized geometry; V = 26.35 A^3/atom; formation energy from the elements = -0.511 eV per atom; spin magnetization = 0.28 μB per atom; offset from the most stable computed form = 0.0240 eV per atom; D(E_F) = 9.68 states/eV/cell; electronic total energy = -16.28 eV per cell
1.0
-2.7319 -1.4129 4.3194
-3.3104 -4.1376 -0.1925
1.2120 -4.4861 2.5538
Sm Ce Au Hg
1 1 1 1
Direct
0.5000 0.5000 0.5000 Sm
0.0000 0.0000 0.0000 Ce
0.2500 0.2500 0.2500 Au
0.7500 0.7500 0.7500 Hg



# 2
GGA-PBE HoPa5Se6, optimized geometry; E_form (uncorrected) = -1.281 eV/atom; V = 23.76 A^3/atom; spin magnetization = 0.24 μB per atom; D(E_F) = 22.09 states/eV/cell; electronic total energy = -88.34 eV per cell
1.0
6.9402 -0.0527 -1.3031
-3.7027 5.8702 -1.3031
0.1186 0.2132 6.9375
Se Pa Ho
6 5 1
Direct
0.4107 0.0814 0.2460 Se
0.0814 0.4107 0.2460 Se
0.5893 0.9186 0.7540 Se
0.2451 0.2451 0.7502 Se
0.7549 0.7549 0.2498 Se
0.9186 0.5893 0.7540 Se
0.6659 0.3341 0.0000 Pa
0.8314 0.1686 0.5000 Pa
0.1686 0.8314 0.5000 Pa
0.5000 0.5000 0.5000 Pa
0.3341 0.6659 0.0000 Pa
0.0000 0.0000 0.0000 Ho



# 3
GGA-PBE TbCeGdLu, optimized geometry; V = 31.78 A^3/atom; formation energy from the elements = 0.162 eV per atom; spin magnetization = 2.58 μB per atom; D(E_F) = 9.09 states/eV/cell; electronic total energy = -28.52 eV per cell
1.0
-5.5166 1.1546 0.2951
-3.7884 -4.1173 -0.7406
-3.0415 -1.8568 4.3766
Ce Lu Tb Gd
1 1 1 1
Direct
0.5000 0.5000 0.5000 Ce
0.0000 0.0000 0.0000 Lu
0.7500 0.7500 0.7500 Tb
0.2500 0.2500 0.2500 Gd



# 4
GGA-PBE DyPuCd4, optimized geometry; V = 24.43 A^3/atom; formation energy from the elements = -0.176 eV per atom; spin magnetization = 1.01 μB per atom; offset from the most stable computed form = 0.0000 eV per atom; D(E_F) = 25.76 states/eV/cell; electronic total energy = -47.30 eV per cell
1.0
-3.8739 0.3909 -3.2685
0.9346 -6.2299 -1.8525
-5.0805 -5.8067 5.3272
Cd Pu Dy
8 2 2
Direct
0.2500 0.9589 0.0836 Cd
0.7500 0.5425 0.9164 Cd
0.7500 0.2088 0.5827 Cd
0.2500 0.7912 0.4173 Cd
0.2500 0.2915 0.4173 Cd
0.7500 0.7085 0.5827 Cd
0.7500 0.0411 0.9164 Cd
0.2500 0.4575 0.0836 Cd
0.2500 0.3742 0.7516 Pu
0.7500 0.6258 0.2484 Pu
0.2500 0.8744 0.7513 Dy
0.7500 0.1256 0.2487 Dy



# 5
GGA-PBE Li3Ir2O6, optimized geometry; E_form (uncorrected) = -1.235 eV/atom; V = 10.43 A^3/atom; spin magnetization = 0.27 μB per atom; D(E_F) = 3.13 states/eV/cell; electronic total energy = -66.80 eV per cell
1.0
-4.6779 -1.7679 1.7026
-0.2638 -4.2845 3.0221
-1.2151 2.1267 4.4931
O Ir Li
6 2 3
Direct
0.4194 0.6312 0.7343 O
0.5806 0.3688 0.2657 O
0.2150 0.0000 0.2598 O
0.9494 0.6312 0.2657 O
0.7850 0.0000 0.7402 O
0.0506 0.3688 0.7343 O
0.8326 0.3347 0.5000 Ir
0.1674 0.6653 0.5000 Ir
0.0000 0.0000 0.0000 Li
0.6506 0.6989 0.0000 Li
0.3494 0.3011 0.0000 Li



# 6
GGA-PBE Sr2ZnSb, optimized geometry; E_form (uncorrected) = -0.288 eV/atom; V = 35.21 A^3/atom; spin magnetization = 0.00 μB per atom; offset from the most stable computed form = 0.3791 eV per atom; D(E_F) = 4.44 states/eV/cell; electronic total energy = -9.91 eV per cell
1.0
3.9611 0.0155 0.0000
-0.1056 3.9597 0.0000
0.0000 0.0000 8.9772
Sb Sr Zn
1 2 1
Direct
0.5000 0.5000 0.6992 Sb
0.0000 0.0000 0.9264 Sr
0.5000 0.5000 0.3300 Sr
0.0000 0.0000 0.5444 Zn